Record 1
## BePW3 (PBEsol)

Data for a relaxed BePW3 crystal.

abc: 4.164 4.164 4.164
angles: 90.00 90.00 90.00
Sites, in units of the cell vectors:
Be  0.000  0.000  0.000
P  0.500  0.500  0.500
W  0.000  0.000  0.500
W  0.000  0.500  0.000
W  0.500  0.000  0.000

Results
* V: 14.44 Å³/atom
* formation energy: 1.1763 eV/atom

Record 2
## Y2BeP (PBEsol)

Data for a relaxed Y2BeP crystal.

abc: 7.135 7.135 7.135
angles: 31.62 31.62 31.62
Sites, in units of the cell vectors:
Y  0.244  0.244  0.244
Y  0.756  0.756  0.756
Be  0.000  0.000  0.000
P  0.500  0.500  0.500

Results
* V: 22.16 Å³/atom
* energy above the lowest structure with this stoichiometry: 0 kJ/mol of formula units
* formation energy: -0.5980 eV/atom

Record 3
## YBeP3 (PBEsol)

Data for a relaxed YBeP3 crystal.

abc: 5.120 5.120 5.120
angles: 90.00 90.00 90.00
Sites, in units of the cell vectors:
Y  0.000  0.000  0.000
Be  0.500  0.500  0.500
P  0.000  0.000  0.500
P  0.000  0.500  0.000
P  0.500  0.000  0.000

Results
* V: 26.84 Å³/atom
* formation energy: 1.2276 eV/atom

Record 4
## Y2BeP (PBEsol)

Data for a relaxed Y2BeP crystal.

abc: 4.939 4.939 4.939
angles: 125.80 125.80 80.21
Sites, in units of the cell vectors:
Y  0.250  0.750  0.500
Y  0.750  0.250  0.500
Be  0.000  0.000  0.000
P  0.500  0.500  0.000

Results
* V: 19.12 Å³/atom
* energy above the lowest structure with this stoichiometry: 67 kJ/mol of formula units
* formation energy: -0.4245 eV/atom

Record 5
## YBe4P (PBEsol)

Data for a relaxed YBe4P crystal.

abc: 4.757 4.757 4.757
angles: 60.00 60.00 60.00
Sites, in units of the cell vectors:
Y  0.000  0.000  0.000
Be  0.123  0.626  0.626
Be  0.626  0.123  0.626
Be  0.626  0.626  0.123
Be  0.626  0.626  0.626
P  0.250  0.250  0.250

Results
* V: 12.69 Å³/atom
* formation energy: 0.2653 eV/atom

Record 6
## Y2BeP (PBEsol)

Data for a relaxed Y2BeP crystal.

abc: 3.374 3.374 7.757
angles: 90.00 90.00 108.97
Sites, in units of the cell vectors:
Y  0.000  0.000  0.000
Y  0.500  0.500  0.376
Be  0.000  0.000  0.635
P  0.500  0.500  0.752

Results
* V: 20.88 Å³/atom
* energy above the lowest structure with this stoichiometry: 114 kJ/mol of formula units
* formation energy: -0.3027 eV/atom

Record 7
## Y4BeP (PBEsol)

Data for a relaxed Y4BeP crystal.

abc: 5.963 5.963 5.963
angles: 60.00 60.00 60.00
Sites, in units of the cell vectors:
Y  0.125  0.125  0.125
Y  0.125  0.125  0.625
Y  0.125  0.625  0.125
Y  0.625  0.125  0.125
Be  0.750  0.750  0.750
P  0.500  0.500  0.500

Results
* V: 24.99 Å³/atom
* formation energy: 0.7237 eV/atom

Record 8
## Y2BeP (PBEsol)

Data for a relaxed Y2BeP crystal.

abc: 4.656 4.656 3.549
angles: 90.00 90.00 90.00
Sites, in units of the cell vectors:
Y  0.000  0.500  0.000
Y  0.500  0.000  0.000
Be  0.000  0.000  0.500
P  0.500  0.500  0.500

Results
* V: 19.24 Å³/atom
* energy above the lowest structure with this stoichiometry: 36 kJ/mol of formula units
* formation energy: -0.5039 eV/atom

Record 9
## BeZn2P (PBEsol)

Data for a relaxed BeZn2P crystal.

abc: 3.311 6.455 6.455
angles: 22.65 90.00 90.00
Sites, in units of the cell vectors:
Be  0.000  0.000  0.000
Zn  0.000  0.747  0.747
Zn  0.500  0.376  0.376
P  0.500  0.582  0.582

Results
* V: 13.28 Å³/atom
* energy above the lowest structure with this stoichiometry: 0 kJ/mol of formula units
* formation energy: 0.1571 eV/atom

Record 10
## BeZnP (PBEsol)

Data for a relaxed BeZnP crystal.

abc: 2.630 2.630 6.361
angles: 90.00 90.00 120.00
Sites, in units of the cell vectors:
Be  0.000  0.000  0.000
Zn  0.667  0.333  0.311
P  0.333  0.667  0.726

Results
* V: 12.71 Å³/atom
* energy above the lowest structure with this stoichiometry: 67 kJ/mol of formula units
* formation energy: 0.3217 eV/atom

Record 11
## BeZnP (PBEsol)

Data for a relaxed BeZnP crystal.

abc: 3.825 3.825 3.825
angles: 60.00 60.00 60.00
Sites, in units of the cell vectors:
Be  0.000  0.000  0.000
Zn  0.250  0.250  0.250
P  0.750  0.750  0.750

Results
* V: 13.19 Å³/atom
* energy above the lowest structure with this stoichiometry: 0 kJ/mol of formula units
* formation energy: 0.0891 eV/atom

Record 12
## Be3ZnP (PBEsol)

Data for a relaxed Be3ZnP crystal.

abc: 4.095 4.095 4.095
angles: 90.00 90.00 90.00
Sites, in units of the cell vectors:
Be  0.000  0.000  0.500
Be  0.000  0.500  0.000
Be  0.500  0.000  0.000
Zn  0.500  0.500  0.500
P  0.000  0.000  0.000

Results
* V: 13.74 Å³/atom
* formation energy: 0.6869 eV/atom